1.
Density functional theory data (PBE) for a relaxed structure of CePaCuGe.

Cell lengths 7.048, 7.048, 7.048 Å; angles 90.00, 90.00, 90.00 degrees
Element x y z (fractional)
Ce: 0.000 0.000 0.000
Ce: 0.000 0.500 0.500
Ce: 0.500 0.000 0.500
Ce: 0.500 0.500 0.000
Pa: 0.000 0.000 0.500
Pa: 0.000 0.500 0.000
Pa: 0.500 0.000 0.000
Pa: 0.500 0.500 0.500
Cu: 0.250 0.250 0.250
Cu: 0.250 0.750 0.750
Cu: 0.750 0.250 0.750
Cu: 0.750 0.750 0.250
Ge: 0.250 0.250 0.750
Ge: 0.250 0.750 0.250
Ge: 0.750 0.250 0.250
Ge: 0.750 0.750 0.750

Results
Density of states at the Fermi level in states/eV per cell: 38.47
Calculated formation energy in eV per atom: -0.138
Total DFT energy (no corrections) in eV/cell: -98.784

---

2.
Density functional theory data (PBE) for a relaxed structure of MnAsSCl2.

Cell lengths 4.558, 4.558, 4.495 Å; angles 90.00, 90.00, 90.00 degrees
Element x y z (fractional)
Mn: 0.000 0.000 0.000
As: 0.500 0.500 0.500
S: 0.000 0.000 0.500
Cl: 0.000 0.500 0.000
Cl: 0.500 0.000 0.000

Results
Energy relative to the elements, uncorrected in eV per atom: 0.293
Density of states at the Fermi level in states/eV per cell: 8.35
Energy relative to the lowest polymorph listed for this composition in meV per atom: 83.0
Total DFT energy (no corrections) in eV/cell: -20.173

---

3.
Density functional theory data (PBE) for a relaxed structure of Pm2Sm5Y2.

Cell lengths 10.184, 10.184, 10.184 Å; angles 85.10, 108.03, 140.89 degrees
Element x y z (fractional)
Pm: 0.000 0.000 0.000
Pm: 0.000 0.500 0.500
Pm: 0.927 0.682 0.745
Pm: 0.937 0.182 0.255
Sm: 0.068 0.370 0.802
Sm: 0.068 0.767 0.198
Sm: 0.370 0.281 0.376
Sm: 0.370 0.494 0.589
Sm: 0.385 0.875 0.011
Sm: 0.569 0.267 0.198
Sm: 0.569 0.870 0.802
Sm: 0.864 0.375 0.989
Sm: 0.905 0.781 0.411
Sm: 0.905 0.994 0.624
Y: 0.468 0.097 0.623
Y: 0.468 0.345 0.871
Y: 0.474 0.597 0.129
Y: 0.474 0.845 0.377

Results
Density of states at the Fermi level in states/eV per cell: 28.22
Calculated formation energy in eV per atom: 0.201
Energy relative to the lowest polymorph listed for this composition in meV per atom: 196.3
Total DFT energy (no corrections) in eV/cell: -88.430

---

4.
Density functional theory data (PBE) for a relaxed structure of SrGaIrO5.

Cell lengths 5.813, 5.813, 7.344 Å; angles 104.27, 104.27, 107.37 degrees
Element x y z (fractional)
Sr: 0.165 0.835 0.750
Sr: 0.835 0.165 0.250
Ga: 0.194 0.806 0.250
Ga: 0.806 0.194 0.750
Ir: 0.500 0.500 0.000
Ir: 0.500 0.500 0.500
O: 0.136 0.259 0.921
O: 0.198 0.601 0.406
O: 0.259 0.136 0.421
O: 0.399 0.802 0.094
O: 0.438 0.562 0.750
O: 0.562 0.438 0.250
O: 0.601 0.198 0.906
O: 0.741 0.864 0.579
O: 0.802 0.399 0.594
O: 0.864 0.741 0.079

Results
Energy relative to the elements, uncorrected in eV per atom: -1.657
Density of states at the Fermi level in states/eV per cell: 6.86
Total DFT energy (no corrections) in eV/cell: -103.237

---

5.
Density functional theory data (PBE) for a relaxed structure of TlOsRu2.

Cell lengths 2.883, 4.771, 9.525 Å; angles 90.00, 90.00, 90.00 degrees
Element x y z (fractional)
Tl: 0.000 0.000 0.000
Tl: 0.500 0.500 0.500
Os: 0.000 0.000 0.500
Os: 0.500 0.500 0.000
Ru: 0.000 0.500 0.230
Ru: 0.000 0.500 0.770
Ru: 0.500 0.000 0.270
Ru: 0.500 0.000 0.730

Results
Density of states at the Fermi level in states/eV per cell: 12.23
Calculated formation energy in eV per atom: 0.825
Energy relative to the lowest polymorph listed for this composition in meV per atom: 415.7
Total DFT energy (no corrections) in eV/cell: -57.697

---

6.
Density functional theory data (PBE) for a relaxed structure of Ni2RhW.

Cell lengths 3.700, 3.700, 7.550 Å; angles 90.00, 90.00, 90.00 degrees
Element x y z (fractional)
Ni: 0.000 0.500 0.250
Ni: 0.000 0.500 0.750
Ni: 0.500 0.000 0.250
Ni: 0.500 0.000 0.750
Rh: 0.000 0.000 0.000
Rh: 0.500 0.500 0.500
W: 0.000 0.000 0.500
W: 0.500 0.500 0.000

Results
Density of states at the Fermi level in states/eV per cell: 5.87
Calculated formation energy in eV per atom: -0.103
Energy relative to the lowest polymorph listed for this composition in meV per atom: 50.6
Total DFT energy (no corrections) in eV/cell: -64.558

---

7.
Density functional theory data (PBE) for a relaxed structure of NaMn2BMo.

Cell lengths 4.530, 4.530, 5.513 Å; angles 90.00, 90.00, 90.00 degrees
Element x y z (fractional)
Na: 0.000 0.000 0.000
Mn: 0.000 0.500 0.500
Mn: 0.500 0.000 0.500
B: 0.500 0.500 0.000
Mo: 0.000 0.000 0.500

Results
Density of states at the Fermi level in states/eV per cell: 3.91
Calculated formation energy in eV per atom: 2.112
Total DFT energy (no corrections) in eV/cell: -26.605

---

8.
Density functional theory data (PBE) for a relaxed structure of TaTlNi3.

Cell lengths 4.642, 4.642, 4.642 Å; angles 90.00, 90.00, 90.00 degrees
Element x y z (fractional)
Ta: 0.000 0.000 0.000
Tl: 0.500 0.500 0.500
Ni: 0.000 0.000 0.500
Ni: 0.000 0.500 0.000
Ni: 0.500 0.000 0.000

Results
Density of states at the Fermi level in states/eV per cell: 6.22
Calculated formation energy in eV per atom: 1.116
Total DFT energy (no corrections) in eV/cell: -25.982